DFT (PBE+U) results for a geometry-optimized In3Co5O12 structure. Values from VASP.

* total magnetization: 0.595 μB/atom
* space group: Ia-3d (230)
* electronic total energy: -5.75 eV per atom

Cell and atoms, written as Quantum ESPRESSO input:
```
&SYSTEM
  ibrav = 0, nat = 80, ntyp = 3
/
ATOMIC_SPECIES
In 114.82 In.upf
Co 58.93 Co.upf
O 16.00 O.upf
ATOMIC_POSITIONS crystal
In 0.125 0.250 0.375
In 0.125 0.375 0.750
In 0.250 0.375 0.125
In 0.250 0.875 0.625
In 0.375 0.125 0.250
In 0.375 0.750 0.125
In 0.625 0.250 0.875
In 0.625 0.875 0.750
In 0.750 0.125 0.375
In 0.750 0.625 0.875
In 0.875 0.625 0.250
In 0.875 0.750 0.625
Co 0.000 0.000 0.000
Co 0.000 0.000 0.500
Co 0.000 0.500 0.000
Co 0.000 0.500 0.500
Co 0.125 0.750 0.875
Co 0.125 0.875 0.250
Co 0.250 0.125 0.875
Co 0.250 0.625 0.375
Co 0.375 0.250 0.625
Co 0.375 0.625 0.750
Co 0.500 0.000 0.000
Co 0.500 0.000 0.500
Co 0.500 0.500 0.000
Co 0.500 0.500 0.500
Co 0.625 0.375 0.250
Co 0.625 0.750 0.375
Co 0.750 0.375 0.625
Co 0.750 0.875 0.125
Co 0.875 0.125 0.750
Co 0.875 0.250 0.125
O 0.030 0.203 0.123
O 0.030 0.327 0.908
O 0.080 0.703 0.673
O 0.080 0.877 0.408
O 0.092 0.623 0.420
O 0.092 0.970 0.673
O 0.123 0.030 0.203
O 0.123 0.592 0.920
O 0.173 0.203 0.580
O 0.173 0.470 0.592
O 0.203 0.123 0.030
O 0.203 0.580 0.173
O 0.297 0.327 0.920
O 0.297 0.470 0.377
O 0.327 0.908 0.030
O 0.327 0.920 0.297
O 0.377 0.297 0.470
O 0.377 0.580 0.908
O 0.408 0.080 0.877
O 0.408 0.827 0.530
O 0.420 0.092 0.623
O 0.420 0.827 0.797
O 0.470 0.377 0.297
O 0.470 0.592 0.173
O 0.530 0.408 0.827
O 0.530 0.623 0.703
O 0.580 0.173 0.203
O 0.580 0.908 0.377
O 0.592 0.173 0.470
O 0.592 0.920 0.123
O 0.623 0.420 0.092
O 0.623 0.703 0.530
O 0.673 0.080 0.703
O 0.673 0.092 0.970
O 0.703 0.530 0.623
O 0.703 0.673 0.080
O 0.797 0.420 0.827
O 0.797 0.877 0.970
O 0.827 0.530 0.408
O 0.827 0.797 0.420
O 0.877 0.408 0.080
O 0.877 0.970 0.797
O 0.908 0.030 0.327
O 0.908 0.377 0.580
O 0.920 0.123 0.592
O 0.920 0.297 0.327
O 0.970 0.673 0.092
O 0.970 0.797 0.877
CELL_PARAMETERS angstrom
-6.051 6.051 6.051
6.051 -6.051 6.051
6.051 6.051 -6.051
```